Below is a relaxed K3Pm3HfO8 crystal, with properties calculated at the PBE level.

The structure in POSCAR format:
```
K3Pm3HfO8
1.0
3.515 2.030 6.336
-3.515 2.030 6.336
0.000 -4.059 6.336
K Pm Hf O
3 3 1 8
Cartesian
-1.758 -1.015 6.336
-1.758 1.015 12.672
0.000 2.030 6.336
-3.515 0.000 9.504
-1.758 1.015 3.168
1.758 1.015 3.168
0.000 0.000 9.504
0.000 0.000 4.354
-1.585 -0.915 10.607
0.000 -1.830 8.401
-1.585 0.915 8.401
1.585 -0.915 10.607
0.000 1.830 10.607
1.585 0.915 8.401
0.000 0.000 14.654
```

Summary:
Raw formation energy (kJ per mole of atoms): -273.68
DOS at the Fermi energy (states/eV per atom): 0.00
Calculated total energy (eV per atom): -7.31
Space group: R-3m, No. 166

Below is a relaxed K4Pr3HfO8 crystal, with properties calculated at the PBE level.

The structure in POSCAR format:
```
K4Pr3HfO8
1.0
3.566 2.059 6.332
-3.566 2.059 6.332
0.000 -4.117 6.332
K Pr Hf O
4 3 1 8
Cartesian
0.000 0.000 0.000
-1.783 -1.029 6.332
-1.783 1.029 12.663
0.000 2.059 6.332
-3.566 0.000 9.497
-1.783 1.029 3.166
1.783 1.029 3.166
0.000 0.000 9.497
0.000 0.000 4.483
-1.572 -0.908 10.658
0.000 -1.815 8.336
-1.572 0.908 8.336
1.572 -0.908 10.658
0.000 1.815 10.658
1.572 0.908 8.336
0.000 0.000 14.511
```

Summary:
Raw formation energy (kJ per mole of atoms): -244.36
DOS at the Fermi energy (states/eV per atom): 0.13
Calculated total energy (eV per atom): -6.80
Space group: R-3m, No. 166

Below is a relaxed K3Pr2HfO6 crystal, with properties calculated at the PBE level.

The structure in POSCAR format:
```
K3Pr2HfO6
1.0
3.072 -5.328 0.000
3.072 5.328 0.000
-2.044 0.000 6.319
K Pr Hf O
3 2 1 6
Cartesian
0.000 0.000 0.000
3.072 1.730 0.000
3.072 -1.730 0.000
2.050 3.550 3.160
2.050 -3.550 3.160
2.050 0.000 3.160
1.140 1.570 2.004
0.240 0.000 4.319
1.140 -1.570 2.004
2.961 1.570 4.316
3.861 0.000 2.000
2.961 -1.570 4.316
```

Summary:
Raw formation energy (kJ per mole of atoms): -243.77
DOS at the Fermi energy (states/eV per atom): 0.36
Calculated total energy (eV per atom): -6.91
Space group: C2/m, No. 12

Below is a relaxed KPrHfO4 crystal, with properties calculated at the PBE level.

The structure in POSCAR format:
```
KPrHfO4
1.0
-2.035 2.035 6.395
2.035 -2.035 6.395
2.035 2.035 -6.395
K Pr Hf O
1 1 1 4
Cartesian
0.000 0.000 0.000
0.000 0.000 8.993
0.000 0.000 4.598
0.000 0.000 2.441
2.035 0.000 4.284
0.000 0.000 6.659
0.000 2.035 4.284
```

Summary:
Raw formation energy (kJ per mole of atoms): -287.99
DOS at the Fermi energy (states/eV per atom): 0.00
Calculated total energy (eV per atom): -8.08
Space group: I4mm, No. 107